No. 1
LaNb3Rh: relaxed, PBE-GGA.

Calculated values
- Density of states at the Fermi level: 1.444 states/eV/atom
- Raw total energy: -33.0 eV for the cell shown
- Energy of formation from the pure elements: 1.896 eV/atom
- Space group: No. 221

Cell: 4.8224 4.8224 4.8224 Å, 90.00 90.00 90.00°
Closest atoms and distances in Å follow each position.
Fractional positions:
Nb1 0.5000 0.0000 0.0000  2 La 2.41
Nb2 0.0000 0.0000 0.5000  2 La 2.41
Nb3 0.0000 0.5000 0.0000  2 La 2.41
La1 0.0000 0.0000 0.0000  6 Nb 2.41
Rh1 0.5000 0.5000 0.5000  12 Nb 3.41

---

No. 2
Rb2YHI6: relaxed, PBE-GGA.

Calculated values
- Density of states at the Fermi level: 0.000 states/eV/atom
- Raw total energy: -31.9 eV for the cell shown
- Space group: No. 139

Cell: 9.3564 9.3564 8.2947 Å, 55.67 55.67 90.00°
Closest atoms and distances in Å follow each position.
Fractional positions:
I1 0.7737 0.7737 0.0000  1 Y 2.99
I2 0.7737 0.2263 0.0000  1 Y 2.99
I3 0.6897 0.6897 0.6206  1 H 1.90
I4 0.3103 0.3103 0.3794  1 H 1.90
I5 0.2263 0.7737 0.0000  1 Y 2.99
I6 0.2263 0.2263 0.0000  1 Y 2.99
Rb1 0.2500 0.7500 0.5000  8 I 4.16
Rb2 0.7500 0.2500 0.5000  8 I 4.16
Y1 0.0000 0.0000 0.0000  6 I 2.99-3.10
H1 0.5000 0.5000 0.0000  2 I 1.90

---

No. 3
Ce12ZrCo6: relaxed, PBE-GGA.

Calculated values
- Density of states at the Fermi level: 2.219 states/eV/atom
- Raw total energy: -121.6 eV for the cell shown
- Energy of formation from the pure elements: 0.041 eV/atom
- Space group: No. 166

Cell: 7.5513 7.5513 7.5513 Å, 83.33 83.33 83.33°
Closest atoms and distances in Å follow each position.
Fractional positions:
Ce1 0.1706 0.5621 0.5620  1 Co 2.28
Ce2 0.4379 0.4380 0.8294  1 Co 2.28
Ce3 0.8799 0.4471 0.8799  3 Co 2.87-2.95, 3 Ce 2.94-3.17
Ce4 0.1201 0.5529 0.1201  3 Co 2.87-2.95, 3 Ce 2.94-3.17
Ce5 0.5621 0.5620 0.1706  1 Co 2.28
Ce6 0.8799 0.8799 0.4471  3 Co 2.87-2.95, 3 Ce 2.94-3.17
Ce7 0.8294 0.4379 0.4380  1 Co 2.28
Ce8 0.1201 0.1201 0.5529  3 Co 2.87-2.95, 3 Ce 2.94-3.17
Ce9 0.5529 0.1201 0.1201  3 Co 2.87-2.95, 3 Ce 2.94-3.17
Ce10 0.4380 0.8294 0.4379  1 Co 2.28
Ce11 0.5620 0.1706 0.5621  1 Co 2.28
Ce12 0.4471 0.8799 0.8799  3 Co 2.87-2.95, 3 Ce 2.94-3.17
Zr1 0.0000 0.0000 0.0000  6 Co 2.67
Co1 0.1321 0.7667 0.7667  1 Ce 2.28
Co2 0.8679 0.2333 0.2333  1 Ce 2.28
Co3 0.7667 0.7667 0.1321  1 Ce 2.28
Co4 0.7667 0.1321 0.7667  1 Ce 2.28
Co5 0.2333 0.8679 0.2333  1 Ce 2.28
Co6 0.2333 0.2333 0.8679  1 Ce 2.28

---

Among the records above, which one has the highest density of states at the Fermi level?
Ce12ZrCo6